This record from Alexandria describes a relaxed Tb7Pm2Y4 crystal. The functional is GGA-PBE.

Lattice parameters (Å, degrees): 6.1150 6.1150 13.2856 90.00 90.00 120.00
Space group P-31m (No. 162)
Inequivalent atoms, fractional coordinates:
Tb (0.0000, 0.0000, 0.0000) (multiplicity 1)
Tb (0.0000, 0.3598, 0.2177) (multiplicity 6)
Pm (0.3333, 0.6667, 0.0000) (multiplicity 2)
Y (0.0000, 0.0000, 0.3939) (multiplicity 2)
Y (0.3333, 0.6667, 0.5000) (multiplicity 2)

Summary:
For the calculated volume, the calculation gives 33.1 Å³/atom. The value obtained for the total energy is -0.1854 hartree per atom. The value obtained for the formation energy is 0.169 eV per atom.


This record from Alexandria describes a relaxed Tb4Pm2Y crystal. The functional is GGA-PBE.

Lattice parameters (Å, degrees): 16.957 3.559 8.814 90.00 119.85 90.00
Space group C2/m (No. 12)
Inequivalent atoms, fractional coordinates:
Tb (0.144, 0.000, 0.344) (multiplicity 4)
Tb (0.205, 0.000, 0.793) (multiplicity 4)
Pm (0.070, 0.500, 0.931) (multiplicity 4)
Y (0.000, 0.500, 0.500) (multiplicity 2)

Summary:
For the calculated volume, the calculation gives 33.0 Å³/atom. The value obtained for the total energy is -0.1793 hartree per atom. As for the energy relative to the lowest polymorph listed for this composition: 32.6 meV/atom. The value obtained for the formation energy is 0.048 eV per atom.


This record from Alexandria describes a relaxed Tb5PmY4 crystal. The functional is GGA-PBE.

Lattice parameters (Å, degrees): 10.582 10.582 5.962 90.00 90.00 90.00
Space group I4mm (No. 107)
Inequivalent atoms, fractional coordinates:
Tb (0.000, 0.000, 0.000) (multiplicity 2)
Tb (0.189, 0.189, 0.267) (multiplicity 8)
Pm (0.000, 0.000, 0.531) (multiplicity 2)
Y (0.000, 0.324, 0.772) (multiplicity 8)

Summary:
For the calculated volume, the calculation gives 33.4 Å³/atom. The value obtained for the total energy is -0.1882 hartree per atom. As for the energy relative to the lowest polymorph listed for this composition: 246.1 meV/atom. The value obtained for the formation energy is 0.255 eV per atom.


This record from Alexandria describes a relaxed Tb2PmY2 crystal. The functional is GGA-PBE.

Lattice parameters (Å, degrees): 9.381 9.381 3.772 90.00 90.00 90.00
Space group P4/mbm (No. 127)
Inequivalent atoms, fractional coordinates:
Tb (0.126, 0.374, 0.000) (multiplicity 4)
Pm (0.000, 0.000, 0.000) (multiplicity 2)
Y (0.171, 0.671, 0.500) (multiplicity 4)

Summary:
For the calculated volume, the calculation gives 33.2 Å³/atom. The value obtained for the total energy is -0.1949 hartree per atom. As for the energy relative to the lowest polymorph listed for this composition: 0.0 meV/atom. The value obtained for the formation energy is 0.084 eV per atom.


This record from Alexandria describes a relaxed Tb5Pm6Y crystal. The functional is GGA-PBE.

Lattice parameters (Å, degrees): 5.106 10.173 15.343 90.00 90.00 90.00
Space group Immm (No. 71)
Inequivalent atoms, fractional coordinates:
Tb (0.000, 0.000, 0.000) (multiplicity 2)
Tb (0.000, 0.000, 0.333) (multiplicity 4)
Tb (0.000, 0.500, 0.333) (multiplicity 4)
Pm (0.000, 0.250, 0.167) (multiplicity 8)
Pm (0.000, 0.250, 0.500) (multiplicity 4)
Y (0.000, 0.500, 0.000) (multiplicity 2)

Summary:
For the calculated volume, the calculation gives 33.2 Å³/atom. The value obtained for the total energy is -0.1775 hartree per atom. As for the energy relative to the lowest polymorph listed for this composition: 2.2 meV/atom. The value obtained for the formation energy is 0.013 eV per atom.


This record from Alexandria describes a relaxed Tb6PmY4 crystal. The functional is GGA-PBE.

Lattice parameters (Å, degrees): 6.600 6.600 17.183 90.00 90.00 90.00
Space group I-42m (No. 121)
Inequivalent atoms, fractional coordinates:
Tb (0.000, 0.500, 0.000) (multiplicity 4)
Tb (0.186, 0.186, 0.172) (multiplicity 8)
Pm (0.000, 0.000, 0.000) (multiplicity 2)
Y (0.180, 0.180, 0.367) (multiplicity 8)

Summary:
For the calculated volume, the calculation gives 34.0 Å³/atom. The value obtained for the total energy is -0.1832 hartree per atom. As for the energy relative to the lowest polymorph listed for this composition: 18.2 meV/atom. The value obtained for the formation energy is 0.322 eV per atom.


This record from Alexandria describes a relaxed Tb2Pm3Y2 crystal. The functional is GGA-PBE.

Lattice parameters (Å, degrees): 11.936 3.601 10.823 90.00 95.89 90.00
Space group C2/m (No. 12)
Inequivalent atoms, fractional coordinates:
Tb (0.072, 0.000, 0.284) (multiplicity 4)
Pm (0.000, 0.500, 0.000) (multiplicity 2)
Pm (0.142, 0.500, 0.570) (multiplicity 4)
Y (0.214, 0.000, 0.858) (multiplicity 4)

Summary:
For the calculated volume, the calculation gives 33.1 Å³/atom. The value obtained for the total energy is -0.1908 hartree per atom. As for the energy relative to the lowest polymorph listed for this composition: 0.0 meV/atom. The value obtained for the formation energy is 0.015 eV per atom.


This record from Alexandria describes a relaxed Tb3Pm8Y crystal. The functional is GGA-PBE.

Lattice parameters (Å, degrees): 6.629 11.303 11.607 90.00 90.00 90.00
Space group I222 (No. 23)
Inequivalent atoms, fractional coordinates:
Tb (0.000, 0.000, 0.000) (multiplicity 2)
Tb (0.000, 0.500, 0.249) (multiplicity 4)
Pm (0.000, 0.164, 0.250) (multiplicity 8)
Pm (0.250, 0.249, 0.007) (multiplicity 8)
Y (0.000, 0.000, 0.500) (multiplicity 2)

Summary:
For the calculated volume, the calculation gives 36.2 Å³/atom. The value obtained for the total energy is -0.1665 hartree per atom. The value obtained for the formation energy is 0.332 eV per atom.


This record from Alexandria describes a relaxed Tb2PmY7 crystal. The functional is GGA-PBE.

Lattice parameters (Å, degrees): 6.490 29.529 3.456 90.00 90.00 90.00
Space group Cmmm (No. 65)
Inequivalent atoms, fractional coordinates:
Tb (0.000, 0.207, 0.000) (multiplicity 4)
Pm (0.000, 0.000, 0.500) (multiplicity 2)
Y (0.000, 0.310, 0.500) (multiplicity 4)
Y (0.000, 0.500, 0.000) (multiplicity 2)
Y (0.246, 0.100, 0.000) (multiplicity 8)

Summary:
For the calculated volume, the calculation gives 33.1 Å³/atom. The value obtained for the total energy is -0.2099 hartree per atom. As for the energy relative to the lowest polymorph listed for this composition: 0.0 meV/atom. The value obtained for the formation energy is 0.215 eV per atom.


This record from Alexandria describes a relaxed Tb3Pm6Y2 crystal. The functional is GGA-PBE.

Lattice parameters (Å, degrees): 3.6141 3.6141 97.0084 90.00 90.00 120.00
Space group R-3m (No. 166, hexagonal axes)
Inequivalent atoms, fractional coordinates:
Tb (0.0000, 0.0000, 0.0000) (multiplicity 3)
Tb (0.0000, 0.0000, 0.2729) (multiplicity 6)
Pm (0.0000, 0.0000, 0.0906) (multiplicity 6)
Pm (0.0000, 0.0000, 0.1821) (multiplicity 6)
Pm (0.0000, 0.0000, 0.3635) (multiplicity 6)
Y (0.0000, 0.0000, 0.4542) (multiplicity 6)

Summary:
For the calculated volume, the calculation gives 33.3 Å³/atom. The value obtained for the total energy is -0.1844 hartree per atom. As for the energy relative to the lowest polymorph listed for this composition: 0.0 meV/atom. The value obtained for the formation energy is 0.012 eV per atom.


This record from Alexandria describes a relaxed Tb4PmY4 crystal. The functional is GGA-PBE.

Lattice parameters (Å, degrees): 10.731 10.731 5.049 90.00 90.00 90.00
Space group I4/mmm (No. 139)
Inequivalent atoms, fractional coordinates:
Tb (0.000, 0.335, 0.000) (multiplicity 8)
Pm (0.000, 0.000, 0.000) (multiplicity 2)
Y (0.167, 0.167, 0.500) (multiplicity 8)

Summary:
For the calculated volume, the calculation gives 32.3 Å³/atom. The value obtained for the total energy is -0.1999 hartree per atom. The value obtained for the formation energy is 0.019 eV per atom.


This record from Alexandria describes a relaxed Tb6Pm4Y crystal. The functional is GGA-PBE.

Lattice parameters (Å, degrees): 6.650 6.650 17.139 90.00 90.00 90.00
Space group I-42m (No. 121)
Inequivalent atoms, fractional coordinates:
Tb (0.000, 0.500, 0.000) (multiplicity 4)
Tb (0.178, 0.178, 0.374) (multiplicity 8)
Pm (0.189, 0.189, 0.176) (multiplicity 8)
Y (0.000, 0.000, 0.000) (multiplicity 2)

Summary:
For the calculated volume, the calculation gives 34.4 Å³/atom. The value obtained for the total energy is -0.1669 hartree per atom. As for the energy relative to the lowest polymorph listed for this composition: 0.0 meV/atom. The value obtained for the formation energy is 0.299 eV per atom.


This record from Alexandria describes a relaxed TbPm7Y2 crystal. The functional is GGA-PBE.

Lattice parameters (Å, degrees): 8.669 17.472 5.413 90.00 90.00 90.00
Space group Cmmm (No. 65)
Inequivalent atoms, fractional coordinates:
Tb (0.000, 0.000, 0.000) (multiplicity 2)
Pm (0.000, 0.199, 0.000) (multiplicity 4)
Pm (0.000, 0.500, 0.500) (multiplicity 2)
Pm (0.180, 0.109, 0.500) (multiplicity 8)
Y (0.000, 0.293, 0.500) (multiplicity 4)

Summary:
For the calculated volume, the calculation gives 41.0 Å³/atom. The value obtained for the total energy is -0.1626 hartree per atom. As for the energy relative to the lowest polymorph listed for this composition: 257.3 meV/atom. The value obtained for the formation energy is 0.656 eV per atom.


This record from Alexandria describes a relaxed Tb2Pm3Y4 crystal. The functional is GGA-PBE.

Lattice parameters (Å, degrees): 16.640 11.672 6.124 90.00 96.71 90.00
Space group C2/c (No. 15)
Inequivalent atoms, fractional coordinates:
Tb (0.118, 0.139, 0.320) (multiplicity 8)
Pm (0.000, 0.098, 0.750) (multiplicity 4)
Pm (0.166, 0.398, 0.584) (multiplicity 8)
Y (0.048, 0.362, 0.016) (multiplicity 8)
Y (0.214, 0.134, 0.852) (multiplicity 8)

Summary:
For the calculated volume, the calculation gives 32.8 Å³/atom. The value obtained for the total energy is -0.1980 hartree per atom. As for the energy relative to the lowest polymorph listed for this composition: 80.9 meV/atom. The value obtained for the formation energy is 0.097 eV per atom.


This record from Alexandria describes a relaxed Tb5Pm12Y2 crystal. The functional is GGA-PBE.

Lattice parameters (Å, degrees): 17.981 11.729 6.240 90.00 102.88 90.00
Space group C2/m (No. 12)
Inequivalent atoms, fractional coordinates:
Tb (0.000, 0.000, 0.000) (multiplicity 2)
Tb (0.176, 0.500, 0.360) (multiplicity 4)
Tb (0.215, 0.000, 0.050) (multiplicity 4)
Pm (0.055, 0.500, 0.775) (multiplicity 4)
Pm (0.103, 0.250, 0.115) (multiplicity 8)
Pm (0.122, 0.000, 0.497) (multiplicity 4)
Pm (0.198, 0.257, 0.699) (multiplicity 8)
Y (0.000, 0.228, 0.500) (multiplicity 4)

Summary:
For the calculated volume, the calculation gives 33.8 Å³/atom. The value obtained for the total energy is -0.1764 hartree per atom. As for the energy relative to the lowest polymorph listed for this composition: 0.0 meV/atom. The value obtained for the formation energy is 0.099 eV per atom.


This record from Alexandria describes a relaxed Tb3PmY5 crystal. The functional is GGA-PBE.

Lattice parameters (Å, degrees): 17.345 6.234 11.271 90.00 90.36 90.00
Space group C2/c (No. 15)
Inequivalent atoms, fractional coordinates:
Tb (0.000, 0.000, 0.000) (multiplicity 4)
Tb (0.164, 0.272, 0.417) (multiplicity 8)
Pm (0.000, 0.124, 0.250) (multiplicity 4)
Y (0.000, 0.403, 0.750) (multiplicity 4)
Y (0.163, 0.278, 0.083) (multiplicity 8)
Y (0.175, 0.204, 0.749) (multiplicity 8)

Summary:
For the calculated volume, the calculation gives 33.9 Å³/atom. The value obtained for the total energy is -0.1967 hartree per atom. As for the energy relative to the lowest polymorph listed for this composition: 248.6 meV/atom. The value obtained for the formation energy is 0.311 eV per atom.


This record from Alexandria describes a relaxed TbPm5Y6 crystal. The functional is GGA-PBE.

Lattice parameters (Å, degrees): 6.252 10.821 11.874 90.00 100.04 90.00
Space group C2/m (No. 12)
Inequivalent atoms, fractional coordinates:
Tb (0.000, 0.000, 0.000) (multiplicity 2)
Pm (0.000, 0.167, 0.500) (multiplicity 4)
Pm (0.000, 0.333, 0.000) (multiplicity 4)
Pm (0.000, 0.500, 0.500) (multiplicity 2)
Y (0.249, 0.167, 0.249) (multiplicity 8)
Y (0.250, 0.000, 0.751) (multiplicity 4)

Summary:
For the calculated volume, the calculation gives 33.0 Å³/atom. The value obtained for the total energy is -0.2053 hartree per atom. The value obtained for the formation energy is 0.012 eV per atom.


This record from Alexandria describes a relaxed Tb5Pm3Y2 crystal. The functional is GGA-PBE.

Lattice parameters (Å, degrees): 10.771 15.693 9.574 90.00 123.81 90.00
Space group C2/c (No. 15)
Inequivalent atoms, fractional coordinates:
Tb (0.000, 0.023, 0.250) (multiplicity 4)
Tb (0.000, 0.271, 0.750) (multiplicity 4)
Tb (0.000, 0.470, 0.750) (multiplicity 4)
Tb (0.235, 0.383, 0.221) (multiplicity 8)
Pm (0.000, 0.231, 0.250) (multiplicity 4)
Pm (0.143, 0.125, 0.048) (multiplicity 8)
Y (0.155, 0.381, 0.546) (multiplicity 8)

Summary:
For the calculated volume, the calculation gives 33.6 Å³/atom. The value obtained for the total energy is -0.1778 hartree per atom. As for the energy relative to the lowest polymorph listed for this composition: 0.0 meV/atom. The value obtained for the formation energy is 0.194 eV per atom.


This record from Alexandria describes a relaxed Tb12Pm7Y crystal. The functional is GGA-PBE.

Lattice parameters (Å, degrees): 11.352 11.352 11.352 90.00 90.00 90.00
Space group Im-3m (No. 229)
Inequivalent atoms, fractional coordinates:
Tb (0.000, 0.248, 0.248) (multiplicity 24)
Pm (0.000, 0.000, 0.500) (multiplicity 6)
Pm (0.250, 0.250, 0.250) (multiplicity 8)
Y (0.000, 0.000, 0.000) (multiplicity 2)

Summary:
For the calculated volume, the calculation gives 36.6 Å³/atom. The value obtained for the total energy is -0.1518 hartree per atom. As for the energy relative to the lowest polymorph listed for this composition: 402.2 meV/atom. The value obtained for the formation energy is 0.634 eV per atom.


This record from Alexandria describes a relaxed Tb5Pm6Y crystal. The functional is GGA-PBE.

Lattice parameters (Å, degrees): 6.261 10.842 11.904 90.00 100.06 90.00
Space group C2/m (No. 12)
Inequivalent atoms, fractional coordinates:
Tb (0.000, 0.000, 0.000) (multiplicity 2)
Tb (0.000, 0.167, 0.500) (multiplicity 4)
Tb (0.000, 0.333, 0.000) (multiplicity 4)
Pm (0.249, 0.000, 0.750) (multiplicity 4)
Pm (0.250, 0.167, 0.250) (multiplicity 8)
Y (0.000, 0.500, 0.500) (multiplicity 2)

Summary:
For the calculated volume, the calculation gives 33.2 Å³/atom. The value obtained for the total energy is -0.1776 hartree per atom. As for the energy relative to the lowest polymorph listed for this composition: 0.0 meV/atom. The value obtained for the formation energy is 0.011 eV per atom.